# 1
Here is a relaxed structure of Ce2Si4Os3 from the Alexandria database. Energies are from PBE-GGA.

Cell and atoms, written as CIF:
```
data_Ce2Si4Os3
_symmetry_space_group_name_H-M 'P 1'
_symmetry_Int_Tables_number 1
_cell_length_a 7.641
_cell_length_b 6.497
_cell_length_c 5.636
_cell_angle_alpha 77.71
_cell_angle_beta 56.18
_cell_angle_gamma 46.11
loop_
_symmetry_equiv_pos_as_xyz
'x,y,z'
loop_
_atom_site_label
_atom_site_type_symbol
_atom_site_fract_x
_atom_site_fract_y
_atom_site_fract_z
Ce1 Ce 0.129 0.129 0.871
Ce2 Ce 0.871 0.871 0.129
Si1 Si 0.163 0.520 0.480
Si2 Si 0.480 0.837 0.163
Si3 Si 0.520 0.163 0.837
Si4 Si 0.837 0.480 0.520
Os1 Os 0.000 0.000 0.500
Os2 Os 0.500 0.500 0.000
Os3 Os 0.500 0.500 0.500
```

Properties
* total energy: -71.3 eV/cell
* space group: No. 69

# 2
Here is a relaxed structure of Ce4Si3Os from the Alexandria database. Energies are from PBE-GGA.

Cell and atoms, written as CIF:
```
data_Ce4Si3Os
_symmetry_space_group_name_H-M 'P 1'
_symmetry_Int_Tables_number 1
_cell_length_a 3.983
_cell_length_b 4.251
_cell_length_c 10.794
_cell_angle_alpha 90.00
_cell_angle_beta 90.00
_cell_angle_gamma 90.00
loop_
_symmetry_equiv_pos_as_xyz
'x,y,z'
loop_
_atom_site_label
_atom_site_type_symbol
_atom_site_fract_x
_atom_site_fract_y
_atom_site_fract_z
Ce1 Ce 0.000 0.000 0.000
Ce2 Ce 0.000 0.500 0.491
Ce3 Ce 0.500 0.000 0.276
Ce4 Ce 0.500 0.500 0.784
Si1 Si 0.000 0.000 0.705
Si2 Si 0.000 0.500 0.202
Si3 Si 0.500 0.000 0.567
Os1 Os 0.500 0.500 0.060
```

Properties
* total energy: -55.6 eV/cell
* space group: No. 25

# 3
Here is a relaxed structure of Ce3SiOs2 from the Alexandria database. Energies are from PBE-GGA.

Cell and atoms, written as CIF:
```
data_Ce3SiOs2
_symmetry_space_group_name_H-M 'P 1'
_symmetry_Int_Tables_number 1
_cell_length_a 5.255
_cell_length_b 15.656
_cell_length_c 3.104
_cell_angle_alpha 90.00
_cell_angle_beta 90.00
_cell_angle_gamma 90.00
loop_
_symmetry_equiv_pos_as_xyz
'x,y,z'
loop_
_atom_site_label
_atom_site_type_symbol
_atom_site_fract_x
_atom_site_fract_y
_atom_site_fract_z
Ce1 Ce 0.250 0.078 0.172
Ce2 Ce 0.250 0.422 0.172
Ce3 Ce 0.250 0.750 0.823
Ce4 Ce 0.750 0.250 0.177
Ce5 Ce 0.750 0.578 0.828
Ce6 Ce 0.750 0.922 0.828
Si1 Si 0.250 0.250 0.678
Si2 Si 0.750 0.750 0.322
Os1 Os 0.250 0.587 0.545
Os2 Os 0.250 0.913 0.545
Os3 Os 0.750 0.087 0.455
Os4 Os 0.750 0.413 0.455
```

Properties
* total energy: -93.5 eV/cell
* space group: No. 59

# 4
Here is a relaxed structure of Ce6Si2Os from the Alexandria database. Energies are from PBE-GGA.

Cell and atoms, written as CIF:
```
data_Ce6Si2Os
_symmetry_space_group_name_H-M 'P 1'
_symmetry_Int_Tables_number 1
_cell_length_a 7.997
_cell_length_b 7.997
_cell_length_c 3.931
_cell_angle_alpha 90.00
_cell_angle_beta 90.00
_cell_angle_gamma 120.00
loop_
_symmetry_equiv_pos_as_xyz
'x,y,z'
loop_
_atom_site_label
_atom_site_type_symbol
_atom_site_fract_x
_atom_site_fract_y
_atom_site_fract_z
Ce1 Ce 0.000 0.258 0.000
Ce2 Ce 0.000 0.583 0.500
Ce3 Ce 0.258 0.000 0.000
Ce4 Ce 0.417 0.417 0.500
Ce5 Ce 0.583 0.000 0.500
Ce6 Ce 0.742 0.742 0.000
Si1 Si 0.333 0.667 0.000
Si2 Si 0.667 0.333 0.000
Os1 Os 0.000 0.000 0.500
```

Properties
* total energy: -61.2 eV/cell
* space group: No. 189

# 5
Here is a relaxed structure of CeSi3Os3 from the Alexandria database. Energies are from PBE-GGA.

Cell and atoms, written as CIF:
```
data_CeSi3Os3
_symmetry_space_group_name_H-M 'P 1'
_symmetry_Int_Tables_number 1
_cell_length_a 7.675
_cell_length_b 7.675
_cell_length_c 7.675
_cell_angle_alpha 52.25
_cell_angle_beta 52.25
_cell_angle_gamma 52.25
loop_
_symmetry_equiv_pos_as_xyz
'x,y,z'
loop_
_atom_site_label
_atom_site_type_symbol
_atom_site_fract_x
_atom_site_fract_y
_atom_site_fract_z
Ce1 Ce 0.166 0.166 0.166
Ce2 Ce 0.834 0.834 0.834
Si1 Si 0.145 0.689 0.389
Si2 Si 0.311 0.611 0.855
Si3 Si 0.389 0.145 0.689
Si4 Si 0.611 0.855 0.311
Si5 Si 0.689 0.389 0.145
Si6 Si 0.855 0.311 0.611
Os1 Os 0.008 0.592 0.254
Os2 Os 0.254 0.008 0.592
Os3 Os 0.408 0.746 0.992
Os4 Os 0.592 0.254 0.008
Os5 Os 0.746 0.992 0.408
Os6 Os 0.992 0.408 0.746
```

Properties
* total energy: -113.8 eV/cell
* space group: No. 148

# 6
Here is a relaxed structure of Ce4Si6Os7 from the Alexandria database. Energies are from PBE-GGA.

Cell and atoms, written as CIF:
```
data_Ce4Si6Os7
_symmetry_space_group_name_H-M 'P 1'
_symmetry_Int_Tables_number 1
_cell_length_a 7.209
_cell_length_b 7.209
_cell_length_c 7.209
_cell_angle_alpha 109.47
_cell_angle_beta 109.47
_cell_angle_gamma 109.47
loop_
_symmetry_equiv_pos_as_xyz
'x,y,z'
loop_
_atom_site_label
_atom_site_type_symbol
_atom_site_fract_x
_atom_site_fract_y
_atom_site_fract_z
Ce1 Ce 0.000 0.000 0.500
Ce2 Ce 0.000 0.500 0.000
Ce3 Ce 0.500 0.000 0.000
Ce4 Ce 0.500 0.500 0.500
Si1 Si 0.000 0.318 0.318
Si2 Si 0.000 0.682 0.682
Si3 Si 0.318 0.000 0.318
Si4 Si 0.318 0.318 0.000
Si5 Si 0.682 0.000 0.682
Si6 Si 0.682 0.682 0.000
Os1 Os 0.000 0.000 0.000
Os2 Os 0.250 0.500 0.750
Os3 Os 0.250 0.750 0.500
Os4 Os 0.500 0.250 0.750
Os5 Os 0.500 0.750 0.250
Os6 Os 0.750 0.250 0.500
Os7 Os 0.750 0.500 0.250
```

Properties
* total energy: -145.6 eV/cell
* space group: No. 229

# 7
Here is a relaxed structure of Ce2Si4Os3 from the Alexandria database. Energies are from PBE-GGA.

Cell and atoms, written as CIF:
```
data_Ce2Si4Os3
_symmetry_space_group_name_H-M 'P 1'
_symmetry_Int_Tables_number 1
_cell_length_a 7.880
_cell_length_b 7.880
_cell_length_c 7.111
_cell_angle_alpha 90.00
_cell_angle_beta 90.00
_cell_angle_gamma 136.70
loop_
_symmetry_equiv_pos_as_xyz
'x,y,z'
loop_
_atom_site_label
_atom_site_type_symbol
_atom_site_fract_x
_atom_site_fract_y
_atom_site_fract_z
Ce1 Ce 0.106 0.894 0.906
Ce2 Ce 0.394 0.606 0.406
Ce3 Ce 0.606 0.394 0.594
Ce4 Ce 0.894 0.106 0.094
Si1 Si 0.179 0.821 0.516
Si2 Si 0.187 0.313 0.750
Si3 Si 0.313 0.187 0.250
Si4 Si 0.321 0.679 0.016
Si5 Si 0.679 0.321 0.984
Si6 Si 0.687 0.813 0.750
Si7 Si 0.813 0.687 0.250
Si8 Si 0.821 0.179 0.484
Os1 Os 0.000 0.000 0.500
Os2 Os 0.019 0.481 0.750
Os3 Os 0.481 0.019 0.250
Os4 Os 0.500 0.500 0.000
Os5 Os 0.519 0.981 0.750
Os6 Os 0.981 0.519 0.250
```

Properties
* total energy: -145.7 eV/cell
* space group: No. 64

# 8
Here is a relaxed structure of Ce8Si2Os3 from the Alexandria database. Energies are from PBE-GGA.

Cell and atoms, written as CIF:
```
data_Ce8Si2Os3
_symmetry_space_group_name_H-M 'P 1'
_symmetry_Int_Tables_number 1
_cell_length_a 8.419
_cell_length_b 8.419
_cell_length_c 6.854
_cell_angle_alpha 108.41
_cell_angle_beta 108.41
_cell_angle_gamma 53.98
loop_
_symmetry_equiv_pos_as_xyz
'x,y,z'
loop_
_atom_site_label
_atom_site_type_symbol
_atom_site_fract_x
_atom_site_fract_y
_atom_site_fract_z
Ce1 Ce 0.103 0.103 0.237
Ce2 Ce 0.151 0.634 0.238
Ce3 Ce 0.345 0.345 0.729
Ce4 Ce 0.366 0.849 0.762
Ce5 Ce 0.634 0.151 0.238
Ce6 Ce 0.655 0.655 0.271
Ce7 Ce 0.849 0.366 0.762
Ce8 Ce 0.897 0.897 0.763
Si1 Si 0.240 0.240 0.028
Si2 Si 0.760 0.760 0.972
Os1 Os 0.000 0.000 0.500
Os2 Os 0.305 0.695 0.000
Os3 Os 0.695 0.305 0.000
```

Properties
* total energy: -93.6 eV/cell
* space group: No. 12